A geometry-optimized LaTbYTh structure, computed with PBE-GGA.

Results
**Total energy**: -23.37 eV for the cell shown
**Offset from the most stable computed form**: 0.00 eV per formula unit
**E_form**: 0.019 eV/atom
**DOS(E_F)**: 1.139 states/eV/atom
**Crystal system**: tetragonal
**Space-group type**: P4mm (99)

```
LaTbYTh
1.0
-0.1346 2.3687 2.7331
-2.3989 -2.1052 1.7064
7.6239 -4.9242 4.6431
Tb Th La Y
1 1 1 1
Direct
0.5000 0.5000 0.3341
0.0000 0.0000 0.5704
0.0000 0.0000 0.0721
0.5000 0.5000 0.8081
```